The following is a DFT calculation (GGA-PBE) of a geometry-optimized HgBi2Pt structure.

Lattice parameters (Å, degrees): 4.271 7.308 7.234 90.00 90.00 106.00
Fractional coordinates of all 8 atoms:
Hg1 0.979 0.973 0.250
Hg2 0.021 0.027 0.750
Bi1 0.343 0.696 0.496
Bi2 0.657 0.304 0.504
Bi3 0.343 0.696 0.004
Bi4 0.657 0.304 0.996
Pt1 0.806 0.620 0.750
Pt2 0.194 0.380 0.250

The crystal system is monoclinic. The space group is No. 11.

***

The following is a DFT calculation (GGA-PBE) of a geometry-optimized HgBi2Pt structure.

Lattice parameters (Å, degrees): 9.275 9.275 7.090 49.15 49.15 90.00
Fractional coordinates of all 8 atoms:
Bi1 0.526 0.125 0.250
Bi2 0.224 0.625 0.250
Bi3 0.375 0.474 0.750
Bi4 0.875 0.776 0.750
Pt1 0.500 0.500 0.000
Pt2 0.250 0.750 0.500
Hg1 0.000 0.000 0.000
Hg2 0.750 0.250 0.500

The crystal system is tetragonal. The space group is No. 122.

***

The following is a DFT calculation (GGA-PBE) of a geometry-optimized Hg2BiPt structure.

Lattice parameters (Å, degrees): 3.199 3.199 11.360 81.91 81.91 60.00
Fractional coordinates of all 4 atoms:
Bi1 0.500 0.500 0.500
Pt1 0.000 0.000 0.000
Hg1 0.080 0.080 0.760
Hg2 0.920 0.920 0.240

The crystal system is trigonal. The space group is No. 166.

***

The following is a DFT calculation (GGA-PBE) of a geometry-optimized HgBi2Pt2 structure.

Lattice parameters (Å, degrees): 3.971 3.971 8.652 76.73 76.73 90.00
Fractional coordinates of all 5 atoms:
Bi1 0.372 0.372 0.257
Bi2 0.628 0.628 0.743
Pt1 0.750 0.250 0.500
Pt2 0.250 0.750 0.500
Hg1 0.000 0.000 0.000

The crystal system is tetragonal. The space group is No. 139.

***

What DOS(E_F) values result from the calculations? In sequence: 3.843, 1.916, 2.711, 3.172 states/eV/cell.
What calculated formation energy values result from the calculations? In sequence: -0.174, -0.082, 0.379, -0.101 eV/atom.
What calculated volume values result from the calculations? In sequence: 217.08, 231.60, 99.32, 129.04 Å³/cell.